(1)
# PBE NdGa4IrPt2, relaxed
# electronic total energy = -129.1 eV/cell
# M_tot = 0.0 μB per formula unit
data_NdGa4IrPt2
_chemical_formula_sum 'Nd3 Ga12 Ir3 Pt6'
_cell_length_a 4.2957
_cell_length_b 4.2957
_cell_length_c 26.7366
_cell_angle_alpha 90.00
_cell_angle_beta 90.00
_cell_angle_gamma 120.00
_space_group_name_H-M_alt 'R -3 m'
_space_group_IT_number 166
_space_group_name_Hall '-R 3 2"'
loop_
_atom_site_label
_atom_site_type_symbol
_atom_site_fract_x
_atom_site_fract_y
_atom_site_fract_z
Nd1 Nd 0.0000 0.0000 0.0000
Ga1 Ga 0.0000 0.0000 0.1330
Ga2 Ga 0.0000 0.0000 0.3998
Ir1 Ir 0.0000 0.0000 0.5000
Pt1 Pt 0.0000 0.0000 0.2362

(2)
# PBE NdGa4Ir2Pt, relaxed
# electronic total energy = -135.4 eV/cell
# M_tot = 0.0 μB per formula unit
data_NdGa4Ir2Pt
_chemical_formula_sum 'Nd3 Ga12 Ir6 Pt3'
_cell_length_a 4.2959
_cell_length_b 4.2959
_cell_length_c 26.4127
_cell_angle_alpha 90.00
_cell_angle_beta 90.00
_cell_angle_gamma 120.00
_space_group_name_H-M_alt 'R -3 m'
_space_group_IT_number 166
_space_group_name_Hall '-R 3 2"'
loop_
_atom_site_label
_atom_site_type_symbol
_atom_site_fract_x
_atom_site_fract_y
_atom_site_fract_z
Nd1 Nd 0.0000 0.0000 0.0000
Ga1 Ga 0.0000 0.0000 0.1288
Ga2 Ga 0.0000 0.0000 0.3995
Ir1 Ir 0.0000 0.0000 0.2318
Pt1 Pt 0.0000 0.0000 0.5000

(3)
# PBE NdPuGa2Ir2, relaxed
# electronic total energy = -46.7 eV/cell
# M_tot = 4.9 μB per formula unit
data_NdPuGa2Ir2
_chemical_formula_sum 'Nd1 Pu1 Ga2 Ir2'
_cell_length_a 4.4081
_cell_length_b 4.4081
_cell_length_c 7.3029
_cell_angle_alpha 90.00
_cell_angle_beta 90.00
_cell_angle_gamma 120.00
_space_group_name_H-M_alt 'P -3 m 1'
_space_group_IT_number 164
_space_group_name_Hall '-P 3 2"'
loop_
_atom_site_label
_atom_site_type_symbol
_atom_site_fract_x
_atom_site_fract_y
_atom_site_fract_z
Nd1 Nd 0.0000 0.0000 0.0000
Pu1 Pu 0.0000 0.0000 0.5000
Ga1 Ga 0.3333 0.6667 0.2653
Ir1 Ir 0.3333 0.6667 0.7114

(4)
# PBE NdPuGaIr, relaxed
# electronic total energy = -130.1 eV/cell
# M_tot = 5.4 μB per formula unit
data_NdPuGaIr
_chemical_formula_sum 'Nd4 Pu4 Ga4 Ir4'
_cell_length_a 7.126
_cell_length_b 7.126
_cell_length_c 7.126
_cell_angle_alpha 90.00
_cell_angle_beta 90.00
_cell_angle_gamma 90.00
_space_group_name_H-M_alt 'F -4 3 m'
_space_group_IT_number 216
_space_group_name_Hall 'F -4 2 3'
loop_
_atom_site_label
_atom_site_type_symbol
_atom_site_fract_x
_atom_site_fract_y
_atom_site_fract_z
Nd1 Nd 0.000 0.000 0.000
Pu1 Pu 0.000 0.000 0.500
Ga1 Ga 0.250 0.250 0.250
Ir1 Ir 0.250 0.250 0.750

(5)
# PBE NdGa5Ir2Rh, relaxed
# electronic total energy = -47.6 eV/cell
# M_tot = 0.0 μB per formula unit
data_NdGa5Ir2Rh
_chemical_formula_sum 'Nd1 Ga5 Ir2 Rh1'
_cell_length_a 4.792
_cell_length_b 4.792
_cell_length_c 7.691
_cell_angle_alpha 90.00
_cell_angle_beta 90.00
_cell_angle_gamma 90.00
_space_group_name_H-M_alt 'P 4/m m m'
_space_group_IT_number 123
_space_group_name_Hall '-P 4 2'
loop_
_atom_site_label
_atom_site_type_symbol
_atom_site_fract_x
_atom_site_fract_y
_atom_site_fract_z
Nd1 Nd 0.000 0.000 0.000
Ga1 Ga 0.000 0.500 0.324
Ga2 Ga 0.500 0.500 0.000
Ir1 Ir 0.500 0.500 0.298
Rh1 Rh 0.000 0.000 0.500

(6)
# PBE NdGa4Ir2Rh, relaxed
# electronic total energy = -140.8 eV/cell
# M_tot = 0.0 μB per formula unit
data_NdGa4Ir2Rh
_chemical_formula_sum 'Nd3 Ga12 Ir6 Rh3'
_cell_length_a 4.2675
_cell_length_b 4.2675
_cell_length_c 26.2570
_cell_angle_alpha 90.00
_cell_angle_beta 90.00
_cell_angle_gamma 120.00
_space_group_name_H-M_alt 'R -3 m'
_space_group_IT_number 166
_space_group_name_Hall '-R 3 2"'
loop_
_atom_site_label
_atom_site_type_symbol
_atom_site_fract_x
_atom_site_fract_y
_atom_site_fract_z
Nd1 Nd 0.0000 0.0000 0.0000
Ga1 Ga 0.0000 0.0000 0.1318
Ga2 Ga 0.0000 0.0000 0.4014
Ir1 Ir 0.0000 0.0000 0.2345
Rh1 Rh 0.0000 0.0000 0.5000

Question: Number 5 is which compound?
Answer: NdGa5Ir2Rh

Question: The highest electronic total energy belongs to which entry?
Answer: NdPuGa2Ir2

Please write out number 4 again, unchanged.
# PBE NdPuGaIr, relaxed
# electronic total energy = -130.1 eV/cell
# M_tot = 5.4 μB per formula unit
data_NdPuGaIr
_chemical_formula_sum 'Nd4 Pu4 Ga4 Ir4'
_cell_length_a 7.126
_cell_length_b 7.126
_cell_length_c 7.126
_cell_angle_alpha 90.00
_cell_angle_beta 90.00
_cell_angle_gamma 90.00
_space_group_name_H-M_alt 'F -4 3 m'
_space_group_IT_number 216
_space_group_name_Hall 'F -4 2 3'
loop_
_atom_site_label
_atom_site_type_symbol
_atom_site_fract_x
_atom_site_fract_y
_atom_site_fract_z
Nd1 Nd 0.000 0.000 0.000
Pu1 Pu 0.000 0.000 0.500
Ga1 Ga 0.250 0.250 0.250
Ir1 Ir 0.250 0.250 0.750

Question: electronic total energy of number 1 (NdGa4IrPt2)?
Answer: -129.1 eV/cell